# 1
First-principles (PBE-GGA) data for a relaxed Zn2HIrRh crystal, as listed in Alexandria via LeMat-Bulk.

For the energy above the most stable polymorph in this dataset, the calculation gives 0.0166 eV/atom. For the electronic total energy, the calculation gives -4.504 eV/atom.

a b c (Å): 4.153 4.153 3.462
angles (deg): 90.00 90.00 90.00
Space group P4/mmm (No. 123)
Inequivalent atoms, fractional coordinates:
1 Zn 0.000 0.500 0.000 [2 per cell]
2 H 0.000 0.000 0.000 [1 per cell]
3 Ir 0.000 0.000 0.500 [1 per cell]
4 Rh 0.500 0.500 0.500 [1 per cell]

# 2
First-principles (PBE-GGA) data for a relaxed LiNpSnCl6 crystal, as listed in Alexandria via LeMat-Bulk.

The energy relative to the elements, uncorrected comes out at -1.47 eV per atom. For the electronic total energy, the calculation gives -4.800 eV/atom.

a b c (Å): 6.8281 6.8281 12.5178
angles (deg): 90.00 90.00 120.00
Space group P-31c (No. 163)
Inequivalent atoms, fractional coordinates:
1 Li 0.3333 0.6667 0.2500 [2 per cell]
2 Np 0.3333 0.6667 0.7500 [2 per cell]
3 Sn 0.0000 0.0000 0.0000 [2 per cell]
4 Cl 0.0131 0.3545 0.1312 [12 per cell]

# 3
First-principles (PBE-GGA) data for a relaxed Li4ScPd3 crystal, as listed in Alexandria via LeMat-Bulk.

For the formation energy, the calculation gives -0.516 eV per atom. For the electronic total energy, the calculation gives -4.211 eV/atom.

a b c (Å): 17.010 3.480 4.295
angles (deg): 90.00 104.36 90.00
Space group C2/m (No. 12)
Inequivalent atoms, fractional coordinates:
1 Li 0.126 0.000 0.125 [4 per cell]
2 Li 0.247 0.500 0.247 [4 per cell]
3 Sc 0.000 0.000 0.500 [2 per cell]
4 Pd 0.000 0.500 0.000 [2 per cell]
5 Pd 0.129 0.500 0.628 [4 per cell]

# 4
First-principles (PBE-GGA) data for a relaxed Li3In2Hg7 crystal, as listed in Alexandria via LeMat-Bulk.

For the formation energy, the calculation gives -0.150 eV per atom. For the electronic total energy, the calculation gives -1.261 eV/atom.

a b c (Å): 6.255 3.211 14.285
angles (deg): 90.00 100.33 90.00
Space group P2/m (No. 10)
Inequivalent atoms, fractional coordinates:
1 Li 0.000 0.000 0.000 [1 per cell]
2 Li 0.060 0.500 0.650 [2 per cell]
3 In 0.459 0.000 0.324 [2 per cell]
4 Hg 0.200 0.500 0.151 [2 per cell]
5 Hg 0.230 0.000 0.819 [2 per cell]
6 Hg 0.233 0.000 0.491 [2 per cell]
7 Hg 0.500 0.500 0.000 [1 per cell]

# 5
First-principles (PBE-GGA) data for a relaxed Ba2LiAl12Pd3 crystal, as listed in Alexandria via LeMat-Bulk.

For the formation energy, the calculation gives -0.066 eV per atom. For the electronic total energy, the calculation gives -3.747 eV/atom.

a b c (Å): 9.4919 9.4919 17.9129
angles (deg): 90.00 90.00 120.00
Space group R-3m (No. 166, hexagonal axes)
Inequivalent atoms, fractional coordinates:
1 Ba 0.0000 0.0000 0.1142 [6 per cell]
2 Li 0.0000 0.0000 0.5000 [3 per cell]
3 Al 0.0300 0.5150 0.1372 [18 per cell]
4 Al 0.1089 0.2178 0.6247 [18 per cell]
5 Pd 0.0000 0.5000 0.0000 [9 per cell]

# 6
First-principles (PBE-GGA) data for a relaxed Er2ThF crystal, as listed in Alexandria via LeMat-Bulk.

The energy relative to the elements, uncorrected comes out at -1.14 eV per atom. For the electronic total energy, the calculation gives -5.742 eV/atom.

a b c (Å): 3.5901 3.5901 25.7456
angles (deg): 90.00 90.00 120.00
Space group R-3m (No. 166, hexagonal axes)
Inequivalent atoms, fractional coordinates:
1 Er 0.0000 0.0000 0.2272 [6 per cell]
2 Th 0.0000 0.0000 0.0000 [3 per cell]
3 F 0.0000 0.0000 0.5000 [3 per cell]

# 7
First-principles (PBE-GGA) data for a relaxed InFe4Ir crystal, as listed in Alexandria via LeMat-Bulk.

For the formation energy, the calculation gives 0.081 eV per atom. For the electronic total energy, the calculation gives -7.494 eV/atom.

a b c (Å): 6.895 6.895 6.895
angles (deg): 90.00 90.00 90.00
Space group F-43m (No. 216)
Inequivalent atoms, fractional coordinates:
1 In 0.000 0.000 0.000 [4 per cell]
2 Fe 0.125 0.125 0.375 [16 per cell]
3 Ir 0.250 0.250 0.750 [4 per cell]

# 8
First-principles (PBE-GGA) data for a relaxed BaGeSeN2 crystal, as listed in Alexandria via LeMat-Bulk.

For the energy above the most stable polymorph in this dataset, the calculation gives 1.1851 eV/atom. The energy relative to the elements, uncorrected comes out at 1.57 eV per atom. For the electronic total energy, the calculation gives -3.764 eV/atom.

a b c (Å): 4.554 4.554 6.636
angles (deg): 90.00 90.00 90.00
Space group P4/mmm (No. 123)
Inequivalent atoms, fractional coordinates:
1 Ba 0.000 0.000 0.000 [1 per cell]
2 Ge 0.500 0.500 0.500 [1 per cell]
3 Se 0.000 0.000 0.500 [1 per cell]
4 N 0.000 0.500 0.000 [2 per cell]